This record from Alexandria via LeMat-Bulk describes an optimized crystal structure of CaCd2GaIr. The functional is PBE.

Cell: 5.2166 5.2166 4.7610 Å, 90.00 90.00 90.00°
Positions (direct):
Ca 0.5000 0.5000 0.5000
Ir 0.0000 0.0000 0.0000
Ga 0.0000 0.0000 0.5000
Cd 0.0000 0.5000 0.0000
Cd 0.5000 0.0000 0.0000

Output
Density of states at the Fermi level (states/eV/atom): 0.446
Space group: P4/mmm, No. 123
Calculated formation energy (eV/atom): -0.16